No. 1
Below is a geometry-optimized Nb4Cr2Si5 structure, with properties calculated at the PBEsol level.

energy relative to the elements, uncorrected: -592 meV/atom
DOS(E_F): 8.574 states/eV/f.u.

Cell lengths 9.3056, 9.3056, 9.3056 Å; angles 130.32, 59.47, 149.43 degrees
Last column: nearest neighbours and their distance in Å.
Atoms (fractional coordinates):
Nb1 0.0635 0.7439 0.8074  7 Si 2.51-2.76
Nb2 0.1433 0.1128 0.2562  7 Si 2.65-2.83
Nb3 0.3567 0.6128 0.9695  7 Si 2.65-2.83
Nb4 0.4365 0.2439 0.6803  7 Si 2.51-2.76
Nb5 0.5635 0.7561 0.3197  7 Si 2.51-2.76
Nb6 0.6433 0.3872 0.0305  7 Si 2.65-2.83
Nb7 0.8567 0.8872 0.7438  7 Si 2.65-2.83
Nb8 0.9365 0.2561 0.1926  7 Si 2.51-2.76
Cr1 0.0565 0.7500 0.3065  6 Si 2.42-2.63, 2 Cr 2.45
Cr2 0.4435 0.7500 0.6935  6 Si 2.42-2.63, 2 Cr 2.45
Cr3 0.5565 0.2500 0.3065  6 Si 2.42-2.63, 2 Cr 2.45
Cr4 0.9435 0.2500 0.6935  6 Si 2.42-2.63, 2 Cr 2.45
Si1 0.0708 0.4174 0.4883  2 Cr 2.42, 3 Nb 2.51-2.65, 1 Si 2.63
Si2 0.2181 0.7936 0.0117  4 Cr 2.48-2.63, 3 Nb 2.53-2.77, 2 Si 2.75
Si3 0.2500 0.2500 0.0000  2 Si 2.45, 4 Nb 2.56
Si4 0.2819 0.2936 0.5755  4 Cr 2.48-2.63, 3 Nb 2.53-2.77, 2 Si 2.75
Si5 0.4292 0.9174 0.3466  2 Cr 2.42, 3 Nb 2.51-2.65, 1 Si 2.63
Si6 0.5708 0.0826 0.6534  2 Cr 2.42, 3 Nb 2.51-2.65, 1 Si 2.63
Si7 0.7181 0.7064 0.4245  4 Cr 2.48-2.63, 3 Nb 2.53-2.77, 2 Si 2.75
Si8 0.7500 0.7500 0.0000  2 Si 2.45, 4 Nb 2.56
Si9 0.7819 0.2064 0.9883  4 Cr 2.48-2.63, 3 Nb 2.53-2.77, 2 Si 2.75
Si10 0.9292 0.5826 0.5117  2 Cr 2.42, 3 Nb 2.51-2.65, 1 Si 2.63



No. 2
Below is a geometry-optimized NbCrSi structure, with properties calculated at the PBEsol level.

energy relative to the elements, uncorrected: -542 meV/atom
DOS(E_F): 1.744 states/eV/f.u.

Cell lengths 6.5914, 6.5914, 3.2856 Å; angles 90.00, 90.00, 120.00 degrees
Last column: nearest neighbours and their distance in Å.
Atoms (fractional coordinates):
Nb1 0.0000 0.4043 0.0000  5 Si 2.59-2.66, 6 Cr 2.79-2.85
Nb2 0.4043 0.0000 0.0000  5 Si 2.59-2.66, 6 Cr 2.79-2.85
Nb3 0.5957 0.5957 0.0000  5 Si 2.59-2.66, 6 Cr 2.79-2.85
Cr1 0.0000 0.7466 0.5000  4 Si 2.34-2.50
Cr2 0.2534 0.2534 0.5000  4 Si 2.34-2.50
Cr3 0.7466 0.0000 0.5000  4 Si 2.34-2.50
Si1 0.0000 0.0000 0.0000  6 Cr 2.34
Si2 0.3333 0.6667 0.5000  3 Cr 2.50, 6 Nb 2.59
Si3 0.6667 0.3333 0.5000  3 Cr 2.50, 6 Nb 2.59



Question: Which of these has the lowest DOS(E_F)?
Answer: NbCrSi